No. 1
Crystalline Mg3Cu at its relaxed geometry. Source: Alexandria, functional PBE-GGA.

Values from the calculation:
E_form: -65 meV/atom
Uncorrected energy: -2.285 eV/atom

a b c (Å): 7.2959 8.2640 5.2390
angles (deg): 90.00 90.00 90.00
Fractional positions:
1 Mg 0.0259 0.2500 0.1040
2 Mg 0.1705 0.0590 0.6231
3 Mg 0.1705 0.4410 0.6231
4 Mg 0.3295 0.5590 0.1231
5 Mg 0.3295 0.9410 0.1231
6 Mg 0.4741 0.7500 0.6040
7 Mg 0.5259 0.2500 0.3960
8 Mg 0.6705 0.0590 0.8769
9 Mg 0.6705 0.4410 0.8769
10 Mg 0.8295 0.5590 0.3769
11 Mg 0.8295 0.9410 0.3769
12 Mg 0.9741 0.7500 0.8960
13 Cu 0.1273 0.7500 0.4225
14 Cu 0.3727 0.2500 0.9225
15 Cu 0.6273 0.7500 0.0775
16 Cu 0.8727 0.2500 0.5775

No. 2
Crystalline MgCu3 at its relaxed geometry. Source: Alexandria, functional PBE-GGA.

Values from the calculation:
E_form: -5 meV/atom
Uncorrected energy: -3.475 eV/atom

a b c (Å): 2.7707 4.3166 4.5157
angles (deg): 90.00 90.00 90.00
Fractional positions:
1 Mg 0.0000 0.0000 0.0000
2 Cu 0.0000 0.5000 0.6358
3 Cu 0.5000 0.0000 0.4994
4 Cu 0.5000 0.5000 0.1585

> Which of these has the highest uncorrected energy?

Mg3Cu

> Look up the uncorrected energy of the second one.

-3.475 eV/atom

> Which formula does entry 2 have?

MgCu3